No. 1
Density functional theory data (PBE-GGA) for an optimized crystal structure of CsTlBr3.

Unit cell a=5.3745 b=5.3745 c=18.8975 alpha=90.00 beta=90.00 gamma=120.00
Last column: nearest neighbours and their distance in Å.
Positions (direct):
Cs: 0.0000 0.0000 0.0000  6 Br 3.61
Tl: 0.3333 0.6667 0.7500  5 Br 2.87-3.10
Br: 0.0000 0.0000 0.7500  3 Tl 3.10
Cs: 0.0000 0.0000 0.5000  6 Br 3.61
Br: 0.3333 0.6667 0.9021  1 Tl 2.87
Br: 0.0000 0.0000 0.2500  3 Tl 3.10
Br: 0.6667 0.3333 0.0979  1 Tl 2.87
Br: 0.3333 0.6667 0.5979  1 Tl 2.87
Tl: 0.6667 0.3333 0.2500  5 Br 2.87-3.10
Br: 0.6667 0.3333 0.4021  1 Tl 2.87

Summary:
For the size of the total moment, the calculation gives 0.0 μB/cell. The calculation puts the mass density at 4.05 Mg/m³. Its space-group type is P6_3/mmc, No. 194. The formation energy without anion corrections is -1015 meV/atom.



No. 2
Density functional theory data (PBE-GGA) for an optimized crystal structure of SmEr8Th2.

Unit cell a=5.9144 b=7.5119 c=9.1761 alpha=111.70 beta=105.78 gamma=97.05
Last column: nearest neighbours and their distance in Å.
Positions (direct):
Th: 0.6933 0.6933 0.3865  8 Er 3.35-3.45
Er: 0.8428 0.6631 0.7630  4 Er 3.21-3.51, 2 Th 3.43-3.45
Er: 0.9202 0.0999 0.7630  4 Er 3.21-3.51, 2 Th 3.43-3.45
Er: 0.7230 0.4287 0.0000  4 Er 2.97-3.32
Th: 0.3067 0.3067 0.6135  8 Er 3.35-3.45
Er: 0.7088 0.2088 0.4176  1 Sm 3.34, 2 Th 3.35, 6 Er 3.51-3.69
Er: 0.2912 0.7912 0.5824  1 Sm 3.34, 2 Th 3.35, 6 Er 3.51-3.69
Er: 0.0798 0.9001 0.2370  4 Er 3.21-3.51, 2 Th 3.43-3.45
Er: 0.1572 0.3369 0.2370  4 Er 3.21-3.51, 2 Th 3.43-3.45
Er: 0.2770 0.5713 0.0000  4 Er 2.97-3.32
Sm: 0.5000 0.0000 0.0000  4 Er 3.33-3.34

Summary:
As for the calculated formation energy: 201 meV per atom. The value obtained for the distance to the lowest polymorph of the same formula is 0.016 eV/atom. For the size of the total moment, the calculation gives 0.0 μB/cell. The calculation puts the mass density at 9.19 Mg/m³. Its space-group type is C2/m, No. 12.



mass density of number 2 (SmEr8Th2)? 9.19 Mg/m³